Entry 1:
CaAsW2 | Alexandria via LeMat-Bulk | PBE-GGA | optimized geometry; calculated total energy = -7.97 eV/atom; DFT formation energy = 4.0 kcal/mol of atoms
1.0
3.2954 0.0000 0.0000
0.0000 3.2954 0.0000
0.0000 0.0000 7.2221
Ca As W
1 1 2
Cartesian
0.0000 0.0000 0.0000 Ca
1.6477 1.6477 5.0837 As
0.0000 0.0000 3.6238 W
1.6477 1.6477 2.2916 W

Entry 2:
CaAs2W | Alexandria via LeMat-Bulk | PBE-GGA | optimized geometry; calculated total energy = -6.24 eV/atom; DFT formation energy = -4.0 kcal/mol of atoms; E above lowest polymorph = 182 meV/atom
1.0
4.8555 0.0000 0.0000
0.0000 1.7760 4.9040
0.0000 -1.7760 4.9040
Ca As W
1 2 1
Cartesian
0.0000 0.0000 0.0000 Ca
0.0000 0.0000 7.0745 As
2.4277 0.0000 4.1502 As
2.4277 0.0000 7.1529 W

Entry 3:
CaAsW2 | Alexandria via LeMat-Bulk | PBE-GGA | optimized geometry; calculated total energy = -7.62 eV/atom; DFT formation energy = 12.0 kcal/mol of atoms
1.0
0.0000 3.2772 3.2772
3.2772 0.0000 3.2772
3.2772 3.2772 0.0000
Ca As W
1 1 2
Cartesian
0.0000 0.0000 0.0000 Ca
4.9158 4.9158 4.9158 As
1.6386 1.6386 1.6386 W
3.2772 3.2772 3.2772 W

Entry 4:
CaAsW2 | Alexandria via LeMat-Bulk | PBE-GGA | optimized geometry; calculated total energy = -7.83 eV/atom; DFT formation energy = 7.1 kcal/mol of atoms
1.0
4.2095 -1.6373 0.0000
4.2095 1.6373 0.0000
-1.1440 0.0000 6.1478
Ca As W
1 1 2
Cartesian
0.0000 0.0000 0.0000 Ca
5.9724 0.0000 1.9060 As
1.1448 0.0000 3.9637 W
3.5639 0.0000 3.0438 W

Entry 5:
CaAsW | Alexandria via LeMat-Bulk | PBE-GGA | optimized geometry; calculated total energy = -6.33 eV/atom; DFT formation energy = 4.8 kcal/mol of atoms; E above lowest polymorph = 197 meV/atom
1.0
3.3570 0.0000 0.0000
-1.6785 2.9072 0.0000
0.0000 0.0000 6.4596
Ca As W
1 1 1
Cartesian
0.0000 0.0000 0.0000 Ca
0.0000 1.9381 4.1906 As
1.6785 0.9691 2.5616 W

Entry 6:
CaAsW | Alexandria via LeMat-Bulk | PBE-GGA | optimized geometry; calculated total energy = -6.06 eV/atom; DFT formation energy = 10.9 kcal/mol of atoms; E above lowest polymorph = 459 meV/atom
1.0
0.0000 3.1653 3.1653
3.1653 0.0000 3.1653
3.1653 3.1653 0.0000
Ca As W
1 1 1
Cartesian
0.0000 0.0000 0.0000 Ca
4.7480 4.7480 4.7480 As
3.1653 3.1653 3.1653 W

Entry 7:
CaAs2W | Alexandria via LeMat-Bulk | PBE-GGA | optimized geometry; calculated total energy = -5.77 eV/atom; DFT formation energy = 6.7 kcal/mol of atoms; E above lowest polymorph = 648 meV/atom
1.0
-1.9780 1.9780 4.9490
1.9780 -1.9780 4.9490
1.9780 1.9780 -4.9490
Ca As W
1 2 1
Cartesian
0.0000 0.0000 0.0000 Ca
0.0000 0.0000 4.9490 As
0.0000 1.9780 2.4745 As
1.9780 0.0000 2.4745 W

Entry 8:
CaAsW2 | Alexandria via LeMat-Bulk | PBE-GGA | optimized geometry; calculated total energy = -7.69 eV/atom; DFT formation energy = 10.3 kcal/mol of atoms
1.0
-1.3983 2.4418 5.4787
1.3983 -2.4418 5.4787
1.3983 2.4418 -5.4787
Ca As W
1 1 2
Cartesian
0.0000 0.0000 0.0000 Ca
0.0000 0.0000 5.4787 As
1.3983 0.0000 3.2083 W
0.0000 2.4418 2.2704 W

Entry 9:
Ca2AsW2 | Alexandria via LeMat-Bulk | PBE-GGA | optimized geometry; calculated total energy = -6.56 eV/atom; DFT formation energy = 8.2 kcal/mol of atoms; E above lowest polymorph = 0 meV/atom
1.0
6.5983 0.0000 0.0000
0.0000 6.5983 0.0000
0.0000 0.0000 5.1527
Ca As W
4 2 4
Cartesian
1.1023 2.1969 0.0000 Ca
2.1969 5.4961 0.0000 Ca
4.4014 1.1023 0.0000 Ca
5.4961 4.4014 0.0000 Ca
0.0000 0.0000 2.5764 As
3.2992 3.2992 2.5764 As
0.8885 4.1877 2.5764 W
2.4107 0.8885 2.5764 W
4.1877 5.7098 2.5764 W
5.7098 2.4107 2.5764 W

Entry 10:
CaAs2W | Alexandria via LeMat-Bulk | PBE-GGA | optimized geometry; calculated total energy = -6.38 eV/atom; DFT formation energy = -7.4 kcal/mol of atoms; E above lowest polymorph = 37 meV/atom
1.0
3.2370 0.0000 0.0000
0.0000 3.2370 0.0000
0.0000 0.0000 7.1616
Ca As W
1 2 1
Cartesian
0.0000 0.0000 0.0000 Ca
1.6185 1.6185 2.1103 As
1.6185 1.6185 5.0513 As
0.0000 0.0000 3.5808 W

Entry 11:
CaAsW2 | Alexandria via LeMat-Bulk | PBE-GGA | optimized geometry; calculated total energy = -7.51 eV/atom; DFT formation energy = 14.5 kcal/mol of atoms
1.0
3.3826 0.0000 0.0000
0.0000 3.3826 0.0000
0.0000 0.0000 6.7925
Ca As W
1 1 2
Cartesian
0.0000 0.0000 0.0000 Ca
0.0000 0.0000 3.3963 As
1.6913 1.6913 2.1688 W
1.6913 1.6913 4.6237 W

Entry 12:
CaAsW2 | Alexandria via LeMat-Bulk | PBE-GGA | optimized geometry; calculated total energy = -7.50 eV/atom; DFT formation energy = 14.8 kcal/mol of atoms
1.0
2.8669 -5.3461 0.0000
2.8669 5.3461 0.0000
-1.2966 0.0000 2.4272
Ca As W
1 1 2
Cartesian
0.0000 0.0000 0.0000 Ca
2.8669 0.0000 0.0000 As
0.7851 2.6730 1.2136 W
0.7851 -2.6730 1.2136 W

Entry 13:
CaAs2W | Alexandria via LeMat-Bulk | PBE-GGA | optimized geometry; calculated total energy = -5.41 eV/atom; DFT formation energy = 15.0 kcal/mol of atoms; E above lowest polymorph = 1005 meV/atom
1.0
0.0000 3.3701 3.3701
3.3701 0.0000 3.3701
3.3701 3.3701 0.0000
Ca As W
1 2 1
Cartesian
0.0000 0.0000 0.0000 Ca
1.6851 1.6851 1.6851 As
3.3701 3.3701 3.3701 As
5.0552 5.0552 5.0552 W

Entry 14:
CaAsW | Alexandria via LeMat-Bulk | PBE-GGA | optimized geometry; calculated total energy = -6.52 eV/atom; DFT formation energy = 0.3 kcal/mol of atoms; E above lowest polymorph = 0 meV/atom
1.0
-1.6739 1.6739 5.5267
1.6739 -1.6739 5.5267
1.6739 1.6739 -5.5267
Ca As W
1 1 1
Cartesian
0.0000 0.0000 0.0000 Ca
0.0000 0.0000 3.2504 As
0.0000 0.0000 7.7505 W